A geometry-optimized Tm5Cd2Pb structure. Source: the Alexandria database, functional GGA-PBE.

Cell and atoms, written as POSCAR:
```
Tm5Cd2Pb
1.0
-6.258 -4.614 2.666
3.780 -6.743 -2.796
4.203 4.966 5.788
Tm Cd Pb
10 4 2
Cartesian
4.818 0.069 2.642
-3.093 -6.459 3.017
1.718 2.548 4.555
0.000 0.000 0.000
-0.681 -1.063 5.348
2.419 -3.542 3.434
2.405 -5.328 0.311
-1.239 -5.678 -0.065
-0.695 -2.849 2.224
0.007 -8.938 1.103
0.993 -7.480 -1.445
-2.981 -8.280 0.513
0.503 -3.077 -0.643
-3.472 -3.876 1.315
0.243 -6.034 2.797
1.482 -0.356 2.862
```

Values from the calculation:
* calculated formation energy: -279.4 meV per atom